Below is TbCrAgF6 after structural relaxation, with properties calculated at the PBE+U level.

VASP energy (eV/atom): -5.67

Unit cell a=5.884 b=5.884 c=9.871 alpha=90.00 beta=90.00 gamma=120.00
Positions (direct):
1 Tb 0.333 0.667 0.250
2 Tb 0.667 0.333 0.750
3 Cr 0.333 0.667 0.750
4 Cr 0.667 0.333 0.250
5 Ag 0.000 0.000 0.000
6 Ag 0.000 0.000 0.500
7 F 0.010 0.369 0.638
8 F 0.010 0.641 0.862
9 F 0.359 0.369 0.862
10 F 0.359 0.990 0.638
11 F 0.369 0.010 0.138
12 F 0.369 0.359 0.362
13 F 0.631 0.641 0.638
14 F 0.631 0.990 0.862
15 F 0.641 0.010 0.362
16 F 0.641 0.631 0.138
17 F 0.990 0.359 0.138
18 F 0.990 0.631 0.362